1.
K5Cd4Hg (PBE, optimized geometry); final energy = -10.13 eV/cell; energy of formation = -0.0683 eV per atom; space-group type = No. 12
1.0
11.075 -2.413 0.000
11.075 2.413 0.000
-3.578 0.000 8.387
K Cd Hg
5 4 1
direct
0.000 0.000 0.000 K
0.301 0.301 0.886 K
0.361 0.361 0.493 K
0.639 0.639 0.507 K
0.699 0.699 0.114 K
0.124 0.124 0.810 Cd
0.462 0.462 0.273 Cd
0.538 0.538 0.727 Cd
0.876 0.876 0.190 Cd
0.000 0.000 0.500 Hg

***

2.
LiZrGe3 (PBE, optimized geometry); final energy = -23.08 eV/cell; energy of formation = 0.2471 eV per atom; space-group type = No. 221; excess energy over the best structure of this formula in the dataset = 0 meV/atom
1.0
5.214 0.000 0.000
0.000 5.214 0.000
0.000 0.000 5.214
Li Zr Ge
1 1 3
direct
0.000 0.000 0.000 Li
0.500 0.500 0.500 Zr
0.000 0.500 0.500 Ge
0.500 0.000 0.500 Ge
0.500 0.500 0.000 Ge

***

3.
LaZrCu (PBE, optimized geometry); final energy = -34.98 eV/cell; energy of formation = 0.0272 eV per atom; space-group type = No. 11; excess energy over the best structure of this formula in the dataset = 77 meV/atom
1.0
6.079 0.000 0.000
0.000 3.519 0.000
-0.054 0.000 6.884
La Zr Cu
2 2 2
direct
0.091 0.250 0.237 La
0.909 0.750 0.763 La
0.415 0.250 0.831 Zr
0.585 0.750 0.169 Zr
0.358 0.750 0.526 Cu
0.642 0.250 0.474 Cu

***

4.
Mn5Se3 (PBE, optimized geometry); ΔE_f (raw) = 0.83 eV per formula unit; final energy = -110.94 eV/cell; space-group type = No. 193
1.0
7.668 0.000 0.000
-3.834 6.641 0.000
0.000 0.000 5.160
Mn Se
10 6
direct
0.000 0.216 0.250 Mn
0.000 0.784 0.750 Mn
0.216 0.000 0.250 Mn
0.216 0.216 0.750 Mn
0.333 0.667 0.000 Mn
0.333 0.667 0.500 Mn
0.667 0.333 0.000 Mn
0.667 0.333 0.500 Mn
0.784 0.000 0.750 Mn
0.784 0.784 0.250 Mn
0.000 0.377 0.750 Se
0.000 0.623 0.250 Se
0.377 0.000 0.750 Se
0.377 0.377 0.250 Se
0.623 0.000 0.250 Se
0.623 0.623 0.750 Se

***

5.
Pm2Ho2Th3 (PBE, optimized geometry); final energy = -40.38 eV/cell; energy of formation = 0.0768 eV per atom; space-group type = No. 65
1.0
1.770 -18.393 0.000
1.770 18.393 0.000
0.000 0.000 3.546
Pm Ho Th
2 2 3
direct
0.208 0.792 0.000 Pm
0.792 0.208 0.000 Pm
0.363 0.637 0.500 Ho
0.637 0.363 0.500 Ho
0.069 0.931 0.000 Th
0.500 0.500 0.500 Th
0.931 0.069 0.000 Th

***

6.
CdGa2Ag4 (PBE, optimized geometry); final energy = -36.20 eV/cell; energy of formation = 0.0392 eV per atom; space-group type = No. 2; excess energy over the best structure of this formula in the dataset = 0 meV/atom
1.0
5.593 0.000 0.000
1.470 5.440 0.000
0.255 0.571 8.868
Cd Ga Ag
2 4 8
direct
0.241 0.021 0.247 Cd
0.759 0.979 0.753 Cd
0.063 0.221 0.951 Ga
0.423 0.773 0.534 Ga
0.577 0.227 0.466 Ga
0.937 0.779 0.049 Ga
0.077 0.232 0.527 Ag
0.220 0.535 0.758 Ag
0.269 0.513 0.259 Ag
0.447 0.764 0.983 Ag
0.553 0.236 0.017 Ag
0.731 0.487 0.741 Ag
0.780 0.465 0.242 Ag
0.923 0.768 0.473 Ag